Entry from Alexandria via LeMat-Bulk: Dy12Tc3H5 after structural relaxation (PBE).

## Properties
Space group = Ia-3d
Mass density = 8.68 Mg/m³

abc: 13.0758 13.0758 13.0758
angles: 109.47 109.47 109.47
With the nearest neighbours (Å) after each atom.
Sites, in units of the cell vectors:
Dy 0.0287 0.2170 0.1228  1 H 2.20
Dy 0.0287 0.3117 0.9059  1 H 2.20
Dy 0.0941 0.6228 0.4058  1 H 2.20
Dy 0.0942 0.7170 0.6883  1 H 2.20
Dy 0.0942 0.8772 0.4059  1 H 2.20
Dy 0.0941 0.9713 0.6883  1 H 2.20
Dy 0.1228 0.0287 0.2170  1 H 2.20
Dy 0.1228 0.5941 0.9058  1 H 2.20
Dy 0.1883 0.2170 0.5942  1 H 2.20
Dy 0.1883 0.4713 0.5941  1 H 2.20
Dy 0.2170 0.1228 0.0287  1 H 2.20
Dy 0.2170 0.5942 0.1883  1 H 2.20
Dy 0.2830 0.3117 0.9058  1 H 2.20
Dy 0.2830 0.4713 0.3772  1 H 2.20
Dy 0.3117 0.9059 0.0287  1 H 2.20
Dy 0.3117 0.9058 0.2830  1 H 2.20
Dy 0.3772 0.2830 0.4713  1 H 2.20
Dy 0.3772 0.5942 0.9059  1 H 2.20
Dy 0.4058 0.0941 0.6228  1 H 2.20
Dy 0.4059 0.0942 0.8772  1 H 2.20
Dy 0.4059 0.8117 0.5287  1 H 2.20
Dy 0.4058 0.8117 0.7830  1 H 2.20
Dy 0.4713 0.3772 0.2830  1 H 2.20
Dy 0.4713 0.5941 0.1883  1 H 2.20
Dy 0.5287 0.4059 0.8117  1 H 2.20
Dy 0.5287 0.6228 0.7170  1 H 2.20
Dy 0.5942 0.1883 0.2170  1 H 2.20
Dy 0.5941 0.1883 0.4713  1 H 2.20
Dy 0.5941 0.9058 0.1228  1 H 2.20
Dy 0.5942 0.9059 0.3772  1 H 2.20
Dy 0.6228 0.4058 0.0941  1 H 2.20
Dy 0.6228 0.7170 0.5287  1 H 2.20
Dy 0.6883 0.0942 0.7170  1 H 2.20
Dy 0.6883 0.0941 0.9713  1 H 2.20
Dy 0.7170 0.5287 0.6228  1 H 2.20
Dy 0.7170 0.6883 0.0942  1 H 2.20
Dy 0.7830 0.4058 0.8117  1 H 2.20
Dy 0.7830 0.8772 0.9713  1 H 2.20
Dy 0.8117 0.5287 0.4059  1 H 2.20
Dy 0.8117 0.7830 0.4058  1 H 2.20
Dy 0.8772 0.4059 0.0942  1 H 2.20
Dy 0.8772 0.9713 0.7830  1 H 2.20
Dy 0.9059 0.0287 0.3117  1 H 2.20
Dy 0.9058 0.1228 0.5941  1 H 2.20
Dy 0.9058 0.2830 0.3117  1 H 2.20
Dy 0.9059 0.3772 0.5942  1 H 2.20
Dy 0.9713 0.6883 0.0941  1 H 2.20
Dy 0.9713 0.7830 0.8772  1 H 2.20
Tc 0.1250 0.2500 0.3750  8 Dy 2.93
Tc 0.1250 0.3750 0.7500  8 Dy 2.93
Tc 0.2500 0.3750 0.1250  8 Dy 2.93
Tc 0.2500 0.8750 0.6250  8 Dy 2.93
Tc 0.3750 0.1250 0.2500  8 Dy 2.93
Tc 0.3750 0.7500 0.1250  8 Dy 2.93
Tc 0.6250 0.2500 0.8750  8 Dy 2.93
Tc 0.6250 0.8750 0.7500  8 Dy 2.93
Tc 0.7500 0.1250 0.3750  8 Dy 2.93
Tc 0.7500 0.6250 0.8750  8 Dy 2.93
Tc 0.8750 0.6250 0.2500  8 Dy 2.93
Tc 0.8750 0.7500 0.6250  8 Dy 2.93
H 0.0000 0.0000 0.0000  6 Dy 2.57
H 0.0000 0.0000 0.5000  6 Dy 2.57
H 0.0000 0.5000 0.0000  6 Dy 2.57
H 0.0000 0.5000 0.5000  6 Dy 2.57
H 0.1250 0.7500 0.8750  4 Dy 2.20
H 0.1250 0.8750 0.2500  4 Dy 2.20
H 0.2500 0.1250 0.8750  4 Dy 2.20
H 0.2500 0.6250 0.3750  4 Dy 2.20
H 0.3750 0.2500 0.6250  4 Dy 2.20
H 0.3750 0.6250 0.7500  4 Dy 2.20
H 0.5000 0.0000 0.0000  6 Dy 2.57
H 0.5000 0.0000 0.5000  6 Dy 2.57
H 0.5000 0.5000 0.0000  6 Dy 2.57
H 0.5000 0.5000 0.5000  6 Dy 2.57
H 0.6250 0.3750 0.2500  4 Dy 2.20
H 0.6250 0.7500 0.3750  4 Dy 2.20
H 0.7500 0.3750 0.6250  4 Dy 2.20
H 0.7500 0.8750 0.1250  4 Dy 2.20
H 0.8750 0.1250 0.7500  4 Dy 2.20
H 0.8750 0.2500 0.1250  4 Dy 2.20

Entry from Alexandria via LeMat-Bulk: Dy2TcH8 after structural relaxation (PBE).

## Properties
Space group = C2/m
Mass density = 7.51 Mg/m³

abc: 7.0276 7.0276 4.2824
angles: 107.74 107.74 28.34
With the nearest neighbours (Å) after each atom.
Sites, in units of the cell vectors:
Dy 0.1452 0.1452 0.1449  8 H 2.13-2.28
Dy 0.8548 0.8548 0.8551  8 H 2.13-2.28
Tc 0.5000 0.5000 0.5000  8 H 1.75-1.95
H 0.0000 0.0000 0.2849  1 H 1.84, 2 Tc 1.95
H 0.0000 0.0000 0.7151  1 H 1.84, 2 Tc 1.95
H 0.2396 0.2396 0.7393  2 H 2.24, 4 Dy 2.28-2.47
H 0.3867 0.3867 0.1645  1 Tc 1.75, 1 H 1.91
H 0.3873 0.3873 0.6120  1 Tc 1.75, 1 H 1.91
H 0.6127 0.6127 0.3880  1 Tc 1.75, 1 H 1.91
H 0.6133 0.6133 0.8355  1 Tc 1.75, 1 H 1.91
H 0.7604 0.7604 0.2607  2 H 2.24, 4 Dy 2.28-2.47

Entry from Alexandria via LeMat-Bulk: DyTcH3 after structural relaxation (PBE).

## Properties
Space group = Pm-3m
Mass density = 9.00 Mg/m³

abc: 3.6505 3.6505 3.6505
angles: 90.00 90.00 90.00
With the nearest neighbours (Å) after each atom.
Sites, in units of the cell vectors:
Dy 0.0000 0.0000 0.0000  12 H 2.58
Tc 0.5000 0.5000 0.5000  6 H 1.83
H 0.0000 0.5000 0.5000  2 Tc 1.83
H 0.5000 0.0000 0.5000  2 Tc 1.83
H 0.5000 0.5000 0.0000  2 Tc 1.83

Which total DFT energy (no corrections) belongs to each record? In order, -5.347, -4.621, -5.384 eV per atom.